Material: Ca2Cu2P
Method: DFT, GGA-PBE
State: relaxed

Structure (POSCAR):
```
Ca2Cu2P
1.0
6.829 0.000 0.000
0.000 6.829 0.000
0.000 0.000 4.249
Ca Cu P
4 4 2
Direct
0.186 0.314 0.000
0.314 0.814 0.000
0.686 0.186 0.000
0.814 0.686 0.000
0.122 0.622 0.500
0.378 0.122 0.500
0.622 0.878 0.500
0.878 0.378 0.500
0.000 0.000 0.500
0.500 0.500 0.500
```

ΔH_f (0 K) in eV per atom: -0.2965
Total energy in eV/cell: -38.2
Polymorph energy (0 for the lowest one) in meV per atom: 60